# NiRhSeO5, optimized geometry, DFT GGA+U
# * VASP energy: -5.38 eV per atom
# * size of the total moment: 8.54 μB per cell
data_NiRhSeO5
_chemical_formula_sum 'Ni4 Rh4 Se4 O20'
_cell_length_a 6.889
_cell_length_b 8.935
_cell_length_c 6.883
_cell_angle_alpha 90.00
_cell_angle_beta 112.72
_cell_angle_gamma 90.00
_space_group_name_H-M_alt 'C 1 2/c 1'
_space_group_IT_number 15
loop_
_space_group_symop_operation_xyz
'x,y,z'
'-x,-y,-z'
'-x,y,-z+1/2'
'x,-y,z+1/2'
'x+1/2,y+1/2,z'
'-x+1/2,-y+1/2,-z'
'-x+1/2,y+1/2,-z+1/2'
'x+1/2,-y+1/2,z+1/2'
loop_
_atom_site_label
_atom_site_fract_x
_atom_site_fract_y
_atom_site_fract_z
Ni1 0.000 0.026 0.250
Rh1 0.250 0.250 0.000
Se1 0.000 0.471 0.250
O1 0.000 0.190 0.750
O2 0.012 0.337 0.070
O3 0.195 0.035 0.088

# VGa3F, optimized geometry, DFT GGA+U
# * VASP energy: -3.44 eV per atom
# * size of the total moment: 4.80 μB per cell
data_VGa3F
_chemical_formula_sum 'V1 Ga3 F1'
_cell_length_a 5.041
_cell_length_b 5.041
_cell_length_c 5.041
_cell_angle_alpha 90.00
_cell_angle_beta 90.00
_cell_angle_gamma 90.00
_space_group_name_H-M_alt 'P m -3 m'
_space_group_IT_number 221
_space_group_name_Hall '-P 4 2 3'
loop_
_atom_site_label
_atom_site_fract_x
_atom_site_fract_y
_atom_site_fract_z
V1 0.000 0.000 0.000
Ga1 0.000 0.000 0.500
F1 0.500 0.500 0.500